Below is a crystal of MnRe5 relaxed with PBEsol, with properties calculated at the meta-GGA SCAN level.

## Properties
Spin magnetization   1.62 μB/cell
Symmetry   Cm (8)
Formation energy   0.25 eV per formula unit
Distance to the lowest polymorph of the same formula   0.21 eV/f.u.

Cell lengths 5.1636, 5.1636, 6.3936 Å; angles 104.45, 104.45, 30.66 degrees
With the nearest neighbours (Å) after each atom.
Atoms (fractional coordinates):
Mn1 0.0000 0.0000 0.0000  10 Re 2.61-2.75, 2 Mn 2.73
Re1 0.0532 0.0532 0.6102  11 Re 2.66-2.76, 1 Mn 2.68
Re2 0.3378 0.3378 0.6715  10 Re 2.66-2.79, 2 Mn 2.67
Re3 0.3916 0.3916 0.2639  2 Mn 2.61, 10 Re 2.63-2.79
Re4 0.6634 0.6634 0.3247  10 Re 2.63-2.79, 2 Mn 2.66
Re5 0.7164 0.7164 0.9417  9 Re 2.63-2.73, 3 Mn 2.66-2.75